# 1
Here is an optimized crystal structure of Ce2Co5Ge4 from Alexandria via LeMat-Bulk. Energies are from PBE-GGA.

a b c (Å): 5.427 5.418 7.422
angles (deg): 79.45 68.55 59.94
Site moments in Bohr magnetons follow the coordinates.
Fractional coordinates of all 11 atoms:
Co (0.000, 0.500, 0.000)  0.06
Co (0.250, 0.500, 0.500)  0.05
Co (0.500, 0.500, 0.000)  0.06
Co (0.500, 0.000, 0.000)  0.04
Co (0.750, 0.500, 0.500)  0.05
Ge (0.787, 0.687, 0.740)  0.00
Ge (0.526, 0.687, 0.260)  0.00
Ge (0.474, 0.313, 0.740)  0.00
Ge (0.213, 0.313, 0.260)  0.00
Ce (0.134, 0.000, 0.732)  -0.40
Ce (0.866, 0.000, 0.268)  -0.40

Computed properties:
The space-group type is Fmmm (69). Its size of the total moment is 0.7 μB/cell. For the energy relative to the elements, the calculation gives -0.445 eV per atom. The calculation puts the density of states at the Fermi level at 0.99 states/eV/atom.

# 2
Here is an optimized crystal structure of Ce6Co2Ge from Alexandria via LeMat-Bulk. Energies are from PBE-GGA.

a b c (Å): 4.565 5.625 8.500
angles (deg): 91.79 90.00 113.94
Site moments in Bohr magnetons follow the coordinates.
Fractional coordinates of all 9 atoms:
Ce (0.591, 0.183, 0.186)  0.10
Ce (0.707, 0.415, 0.599)  0.18
Ce (0.293, 0.585, 0.401)  0.18
Ce (0.081, 0.161, 0.859)  0.05
Ce (0.409, 0.817, 0.814)  0.10
Ce (0.919, 0.839, 0.141)  0.05
Co (0.256, 0.513, 0.115)  -0.03
Co (0.744, 0.487, 0.885)  -0.03
Ge (0.000, 0.000, 0.500)  -0.01

Computed properties:
The space-group type is C2/m (12). Its size of the total moment is 0.7 μB/cell. For the energy relative to the elements, the calculation gives -0.282 eV per atom. The calculation puts the density of states at the Fermi level at 2.08 states/eV/atom.

# 3
Here is an optimized crystal structure of Ce4CoGe2 from Alexandria via LeMat-Bulk. Energies are from PBE-GGA.

a b c (Å): 4.268 5.946 5.946
angles (deg): 93.42 90.00 90.00
Site moments in Bohr magnetons follow the coordinates.
Fractional coordinates of all 7 atoms:
Co (0.500, 0.500, 0.500)  -0.01
Ge (0.000, 0.668, 0.332)  -0.01
Ge (0.000, 0.332, 0.668)  -0.01
Ce (0.000, 0.833, 0.833)  0.50
Ce (0.000, 0.167, 0.167)  0.50
Ce (0.500, 0.500, 0.000)  0.15
Ce (0.500, 0.000, 0.500)  0.15

Computed properties:
The space-group type is Cmmm (65). Its size of the total moment is 1.5 μB/cell. As for the offset from the most stable computed form: 40.3 meV/atom. For the energy relative to the elements, the calculation gives -0.385 eV per atom. The calculation puts the density of states at the Fermi level at 1.97 states/eV/atom.

# 4
Here is an optimized crystal structure of Ce2Co5Ge3 from Alexandria via LeMat-Bulk. Energies are from PBE-GGA.

a b c (Å): 5.623 8.047 8.047
angles (deg): 75.46 69.55 69.55
Site moments in Bohr magnetons follow the coordinates.
Fractional coordinates of all 20 atoms:
Ce (0.627, 0.118, 0.627)  -0.29
Ce (0.373, 0.882, 0.373)  -0.29
Ce (0.127, 0.627, 0.118)  -0.29
Ce (0.873, 0.373, 0.882)  -0.29
Co (0.997, 0.253, 0.253)  0.86
Co (0.630, 0.740, 0.999)  0.54
Co (0.750, 0.500, 0.500)  0.01
Co (0.370, 0.260, 0.001)  0.54
Co (0.870, 0.001, 0.260)  0.54
Co (0.497, 0.253, 0.253)  0.86
Co (0.003, 0.747, 0.747)  0.86
Co (0.503, 0.747, 0.747)  0.86
Co (0.250, 0.500, 0.500)  0.01
Co (0.130, 0.999, 0.740)  0.54
Ge (0.750, 0.000, 0.000)  -0.02
Ge (0.620, 0.510, 0.249)  -0.02
Ge (0.380, 0.490, 0.751)  -0.02
Ge (0.250, 0.000, 0.000)  -0.02
Ge (0.880, 0.751, 0.490)  -0.02
Ge (0.120, 0.249, 0.510)  -0.02

Computed properties:
The space-group type is Ibam (72). Its size of the total moment is 3.9 μB/cell. As for the offset from the most stable computed form: 7.3 meV/atom. For the energy relative to the elements, the calculation gives -0.414 eV per atom. The calculation puts the density of states at the Fermi level at 1.35 states/eV/atom.

# 5
Here is an optimized crystal structure of Ce3CoGe2 from Alexandria via LeMat-Bulk. Energies are from PBE-GGA.

a b c (Å): 4.190 11.809 11.173
angles (deg): 90.00 90.00 90.00
Site moments in Bohr magnetons follow the coordinates.
Fractional coordinates of all 24 atoms:
Ge (0.250, 0.484, 0.690)  -0.02
Ge (0.750, 0.199, 0.502)  -0.03
Ge (0.750, 0.516, 0.310)  -0.02
Ge (0.250, 0.301, 0.002)  -0.03
Ge (0.250, 0.984, 0.810)  -0.02
Ge (0.750, 0.016, 0.190)  -0.02
Ge (0.250, 0.801, 0.498)  -0.03
Ge (0.750, 0.699, 0.998)  -0.03
Ce (0.250, 0.228, 0.704)  0.69
Ce (0.250, 0.381, 0.444)  0.51
Ce (0.750, 0.272, 0.204)  0.69
Ce (0.250, 0.550, 0.123)  0.78
Ce (0.750, 0.619, 0.556)  0.51
Ce (0.750, 0.950, 0.623)  0.78
Ce (0.250, 0.728, 0.796)  0.69
Ce (0.750, 0.450, 0.877)  0.78
Ce (0.250, 0.881, 0.056)  0.51
Ce (0.750, 0.772, 0.296)  0.69
Ce (0.250, 0.050, 0.377)  0.78
Ce (0.750, 0.119, 0.944)  0.51
Co (0.750, 0.875, 0.869)  -0.22
Co (0.750, 0.375, 0.631)  -0.22
Co (0.250, 0.625, 0.369)  -0.22
Co (0.250, 0.125, 0.131)  -0.22

Computed properties:
The space-group type is Pnma (62). Its size of the total moment is 10.0 μB/cell. For the energy relative to the elements, the calculation gives -0.637 eV per atom. The calculation puts the density of states at the Fermi level at 1.73 states/eV/atom.

# 6
Here is an optimized crystal structure of Ce2CoGe from Alexandria via LeMat-Bulk. Energies are from PBE-GGA.

a b c (Å): 3.158 3.158 8.137
angles (deg): 90.00 90.00 90.00
Site moments in Bohr magnetons follow the coordinates.
Fractional coordinates of all 4 atoms:
Co (0.500, 0.500, 0.000)  0.45
Ce (0.000, 0.000, 0.775)  -0.07
Ce (0.000, 0.000, 0.225)  -0.07
Ge (0.500, 0.500, 0.500)  0.00

Computed properties:
The space-group type is P4/mmm (123). Its size of the total moment is 0.2 μB/cell. For the energy relative to the elements, the calculation gives -0.353 eV per atom. The calculation puts the density of states at the Fermi level at 1.37 states/eV/atom.

# 7
Here is an optimized crystal structure of Ce3Co4Ge2 from Alexandria via LeMat-Bulk. Energies are from PBE-GGA.

a b c (Å): 4.238 5.752 7.067
angles (deg): 90.30 90.00 111.62
Fractional coordinates of all 9 atoms:
Co (0.267, 0.534, 0.893)
Co (0.073, 0.146, 0.669)
Co (0.927, 0.854, 0.331)
Co (0.733, 0.466, 0.106)
Ge (0.332, 0.664, 0.215)
Ge (0.668, 0.336, 0.785)
Ce (0.379, 0.759, 0.631)
Ce (0.621, 0.241, 0.369)
Ce (0.000, 0.000, 0.000)

Computed properties:
The space-group type is C2/m (12). Its size of the total moment is 0.0 μB/cell. For the energy relative to the elements, the calculation gives -0.488 eV per atom. The calculation puts the density of states at the Fermi level at 0.84 states/eV/atom.

# 8
Here is an optimized crystal structure of CeCoGe2 from Alexandria via LeMat-Bulk. Energies are from PBE-GGA.

a b c (Å): 4.882 4.882 4.557
angles (deg): 57.61 57.61 60.00
Site moments in Bohr magnetons follow the coordinates.
Fractional coordinates of all 4 atoms:
Ge (0.765, 0.765, 0.705)  0.00
Ge (0.235, 0.235, 0.295)  0.00
Ce (0.500, 0.500, 0.500)  0.22
Co (0.000, 0.000, 0.000)  1.28

Computed properties:
The space-group type is R-3m (166). Its size of the total moment is 1.5 μB/cell. For the energy relative to the elements, the calculation gives -0.205 eV per atom. The calculation puts the density of states at the Fermi level at 1.06 states/eV/atom.

# 9
Here is an optimized crystal structure of Ce3Co2Ge3 from Alexandria via LeMat-Bulk. Energies are from PBE-GGA.

a b c (Å): 4.024 5.736 15.120
angles (deg): 90.00 90.00 110.53
Site moments in Bohr magnetons follow the coordinates.
Fractional coordinates of all 16 atoms:
Ge (0.588, 0.176, 0.054)  0.00
Ge (0.412, 0.824, 0.946)  0.00
Ge (0.588, 0.176, 0.446)  0.00
Ge (0.308, 0.615, 0.250)  -0.01
Ge (0.692, 0.385, 0.750)  -0.01
Ge (0.412, 0.824, 0.554)  0.00
Ce (0.594, 0.188, 0.250)  0.09
Ce (0.406, 0.812, 0.750)  0.09
Ce (0.138, 0.277, 0.906)  0.20
Ce (0.862, 0.723, 0.406)  0.20
Ce (0.862, 0.723, 0.094)  0.20
Ce (0.138, 0.277, 0.594)  0.20
Co (0.843, 0.686, 0.873)  -0.07
Co (0.843, 0.686, 0.627)  -0.07
Co (0.157, 0.314, 0.127)  -0.07
Co (0.157, 0.314, 0.373)  -0.07

Computed properties:
The space-group type is Cmcm (63). Its size of the total moment is 0.9 μB/cell. For the energy relative to the elements, the calculation gives -0.645 eV per atom. The calculation puts the density of states at the Fermi level at 1.20 states/eV/atom.

# 10
Here is an optimized crystal structure of CeCoGe3 from Alexandria via LeMat-Bulk. Energies are from PBE-GGA.

a b c (Å): 4.172 5.741 9.028
angles (deg): 90.00 103.36 90.00
Site moments in Bohr magnetons follow the coordinates.
Fractional coordinates of all 10 atoms:
Ce (0.113, 0.250, 0.226)  0.35
Ce (0.887, 0.750, 0.774)  0.35
Ge (0.708, 0.987, 0.416)  0.00
Ge (0.708, 0.513, 0.416)  0.00
Ge (0.055, 0.750, 0.110)  0.00
Ge (0.292, 0.013, 0.584)  0.00
Ge (0.945, 0.250, 0.890)  0.00
Ge (0.292, 0.487, 0.584)  0.00
Co (0.396, 0.250, 0.793)  0.00
Co (0.604, 0.750, 0.207)  0.00

Computed properties:
The space-group type is Cmcm (63). Its size of the total moment is 0.8 μB/cell. For the energy relative to the elements, the calculation gives -0.192 eV per atom. The calculation puts the density of states at the Fermi level at 1.30 states/eV/atom.

# 11
Here is an optimized crystal structure of Ce3Co2Ge2 from Alexandria via LeMat-Bulk. Energies are from PBE-GGA.

a b c (Å): 4.302 4.022 9.061
angles (deg): 102.82 103.73 90.00
Site moments in Bohr magnetons follow the coordinates.
Fractional coordinates of all 7 atoms:
Co (0.430, 0.430, 0.861)  -0.13
Co (0.570, 0.570, 0.139)  -0.13
Ce (0.000, 0.000, 0.000)  0.32
Ce (0.675, 0.175, 0.351)  0.34
Ce (0.325, 0.825, 0.649)  0.34
Ge (0.138, 0.638, 0.276)  -0.01
Ge (0.862, 0.362, 0.724)  -0.01

Computed properties:
The space-group type is Immm (71). Its size of the total moment is 1.1 μB/cell. As for the offset from the most stable computed form: 60.9 meV/atom. For the energy relative to the elements, the calculation gives -0.531 eV per atom. The calculation puts the density of states at the Fermi level at 1.75 states/eV/atom.